1.
LiZn2Hg | Alexandria via LeMat-Bulk | PBE-GGA | optimized geometry; formation energy = -0.0617 eV/atom; DOS(E_F) = 1.3 states/eV per cell; symmetry = C2/m
1.0
2.820 -4.946 0.000
2.820 4.946 0.000
-1.483 0.000 2.513
Li Zn Hg
1 2 1
direct
0.000 0.000 0.000 Li
0.000 0.500 0.500 Zn
0.500 0.000 0.500 Zn
0.500 0.500 0.000 Hg



2.
Li2ZnHg4 | Alexandria via LeMat-Bulk | PBE-GGA | optimized geometry; distance to the lowest polymorph of the same formula = 0.161 eV/atom; formation energy = -0.0133 eV/atom; DOS(E_F) = 4.9 states/eV per cell; symmetry = I4/mmm
1.0
-2.616 2.616 6.901
2.616 -2.616 6.901
2.616 2.616 -6.901
Li Zn Hg
2 1 4
direct
0.102 0.102 0.000 Li
0.898 0.898 0.000 Li
0.500 0.500 0.000 Zn
0.000 0.500 0.500 Hg
0.295 0.295 0.000 Hg
0.500 0.000 0.500 Hg
0.705 0.705 0.000 Hg



3.
LiZn2Hg2 | Alexandria via LeMat-Bulk | PBE-GGA | optimized geometry; distance to the lowest polymorph of the same formula = 0.091 eV/atom; formation energy = 0.0385 eV/atom; DOS(E_F) = 1.9 states/eV per cell; symmetry = I4/mmm
1.0
-2.216 2.216 5.713
2.216 -2.216 5.713
2.216 2.216 -5.713
Li Zn Hg
1 2 2
direct
0.000 0.000 0.000 Li
0.395 0.395 0.000 Zn
0.605 0.605 0.000 Zn
0.250 0.750 0.500 Hg
0.750 0.250 0.500 Hg



4.
Li5Zn2Hg | Alexandria via LeMat-Bulk | PBE-GGA | optimized geometry; formation energy = -0.2149 eV/atom; DOS(E_F) = 2.6 states/eV per cell; symmetry = I4/mmm
1.0
-2.018 2.018 7.989
2.018 -2.018 7.989
2.018 2.018 -7.989
Li Zn Hg
5 2 1
direct
0.000 0.000 0.000 Li
0.131 0.631 0.500 Li
0.369 0.869 0.500 Li
0.631 0.131 0.500 Li
0.869 0.369 0.500 Li
0.248 0.248 0.000 Zn
0.752 0.752 0.000 Zn
0.500 0.500 0.000 Hg



5.
LiZnHg | Alexandria via LeMat-Bulk | PBE-GGA | optimized geometry; distance to the lowest polymorph of the same formula = 0.017 eV/atom; formation energy = -0.1881 eV/atom; DOS(E_F) = 1.1 states/eV per cell; symmetry = P3m1
1.0
4.650 0.000 0.000
-2.325 4.027 0.000
0.000 0.000 3.016
Li Zn Hg
1 1 1
direct
0.000 0.000 0.000 Li
0.667 0.333 0.504 Zn
0.333 0.667 0.498 Hg



6.
Li3ZnHg | Alexandria via LeMat-Bulk | PBE-GGA | optimized geometry; distance to the lowest polymorph of the same formula = 0.313 eV/atom; formation energy = 0.0951 eV/atom; DOS(E_F) = 2.3 states/eV per cell; symmetry = Pm-3m
1.0
4.771 0.000 0.000
0.000 4.771 0.000
0.000 0.000 4.771
Li Zn Hg
3 1 1
direct
0.000 0.000 0.500 Li
0.000 0.500 0.000 Li
0.500 0.000 0.000 Li
0.000 0.000 0.000 Zn
0.500 0.500 0.500 Hg



Q: Which of these has the highest formation energy?
A: Li3ZnHg



Q: Number 2 is which compound?
A: Li2ZnHg4